Record 1
A plane-wave DFT calculation with PBE-GGA was carried out for a geometry-optimized SmHoInAu structure.

Structure (CIF):
```
data_SmHoInAu
_symmetry_space_group_name_H-M 'F -4 3 m'
_symmetry_Int_Tables_number 216
_symmetry_space_group_name_Hall 'F -4 2 3'
_cell_length_a 7.450
_cell_length_b 7.450
_cell_length_c 7.450
_cell_angle_alpha 90.00
_cell_angle_beta 90.00
_cell_angle_gamma 90.00
loop_
_atom_site_label
_atom_site_fract_x
_atom_site_fract_y
_atom_site_fract_z
_atom_site_occupancy
Sm1 0.000 0.000 0.000 1
Ho1 0.000 0.000 0.500 1
In1 0.250 0.250 0.750 1
Au1 0.250 0.250 0.250 1
```

Calculated values
As for the energy relative to the lowest polymorph listed for this composition: 68.2 meV per atom. Its density of states at the Fermi level is 0.93 states/eV per atom. For the formation energy, the calculation gives -0.5941 eV/atom.

Record 2
A plane-wave DFT calculation with PBE-GGA was carried out for a geometry-optimized DyEr2Th3S6 structure.

Structure (CIF):
```
data_DyEr2Th3S6
_symmetry_space_group_name_H-M 'C 1 2/m 1'
_symmetry_Int_Tables_number 12
_cell_length_a 6.725
_cell_length_b 11.585
_cell_length_c 7.126
_cell_angle_alpha 90.00
_cell_angle_beta 108.14
_cell_angle_gamma 90.00
loop_
_symmetry_equiv_pos_as_xyz
'x,y,z'
'-x,-y,-z'
'-x,y,-z'
'x,-y,z'
'x+1/2,y+1/2,z'
'-x+1/2,-y+1/2,-z'
'-x+1/2,y+1/2,-z'
'x+1/2,-y+1/2,z'
loop_
_atom_site_label
_atom_site_fract_x
_atom_site_fract_y
_atom_site_fract_z
_atom_site_occupancy
Dy1 0.000 0.000 0.000 1
Er1 0.000 0.333 0.000 1
Th1 0.000 0.166 0.500 1
Th2 0.000 0.500 0.500 1
S1 0.241 0.500 0.230 1
S2 0.245 0.168 0.231 1
```

Calculated values
Its density of states at the Fermi level is 0.60 states/eV per atom. As for the uncorrected formation energy: -1894.5 meV/atom.